Record 1
## YAgP2 (PBE-GGA)

Data for a relaxed YAgP2 crystal.

Calculated values
* E: -5.140 eV/atom
* formation energy: -0.42 eV per formula unit
* size of the total moment: 0.000 μB per formula unit

Unit cell a=3.9214 b=3.9214 c=16.0093 alpha=90.00 beta=90.00 gamma=120.00
Space group P6_3/mmc (No. 194)
Asymmetric unit:
Y  0.0000  0.0000  0.0000 (multiplicity 2)
Ag  0.3333  0.6667  0.2500 (multiplicity 2)
P  0.3333  0.6667  0.1025 (multiplicity 4)



Record 2
## GaRu2W (PBE-GGA)

Data for a relaxed GaRu2W crystal.

Calculated values
* E: -8.725 eV/atom
* formation energy: -0.37 eV per formula unit
* size of the total moment: 0.000 μB per formula unit

Unit cell a=2.8434 b=2.8434 c=25.3221 alpha=90.00 beta=90.00 gamma=120.00
Space group R3m (No. 160, hexagonal axes)
Asymmetric unit:
Ga  0.0000  0.0000  0.0000 (multiplicity 3)
Ru  0.0000  0.0000  0.5852 (multiplicity 3)
Ru  0.0000  0.0000  0.7483 (multiplicity 3)
W  0.0000  0.0000  0.1666 (multiplicity 3)